Density functional theory data (PBE) for a relaxed structure of Ag2BRuBr.

* total energy: -3.46 eV per atom
* total moment: 2.38 μB/f.u.
* energy relative to the elements, uncorrected: 1.2070 eV per atom

a = 4.233 Å, b = 4.233 Å, c = 5.220 Å
α = 90.00°, β = 90.00°, γ = 90.00°
Space group P4/mmm (No. 123)
Symmetry-distinct sites (fractional):
Ag  0.000  0.500  0.000 [2 per cell]
B  0.000  0.000  0.000 [1 per cell]
Ru  0.500  0.500  0.500 [1 per cell]
Br  0.000  0.000  0.500 [1 per cell]